[1]
A relaxed KCd2Ag crystal. Source: Alexandria, functional GGA-PBE.

Unit cell a=4.870 b=4.870 c=6.810 alpha=112.46 beta=112.46 gamma=61.92
Fractional positions:
K  0.000  0.000  0.000
Cd  0.195  0.195  0.583
Cd  0.805  0.805  0.417
Ag  0.500  0.500  0.500

Calculated values
E_form, eV per atom: -0.06
SG: C2/m, No. 12
Energy above the most stable polymorph in this dataset, eV per formula unit: 0.04
N(E_F), states/eV per cell: 1.82

[2]
A relaxed Ho2TmCu3 crystal. Source: Alexandria, functional GGA-PBE.

Unit cell a=3.431 b=3.431 c=10.359 alpha=90.00 beta=90.00 gamma=90.00
Fractional positions:
Ho  0.000  0.000  0.168
Ho  0.000  0.000  0.832
Tm  0.000  0.000  0.500
Cu  0.500  0.500  0.000
Cu  0.500  0.500  0.336
Cu  0.500  0.500  0.664

Calculated values
E_form, eV per atom: -0.28
SG: P4/mmm, No. 123
N(E_F), states/eV per cell: 2.69

[3]
A relaxed TlBPdW2 crystal. Source: Alexandria, functional GGA-PBE.

Unit cell a=4.203 b=4.203 c=4.632 alpha=90.00 beta=90.00 gamma=90.00
Fractional positions:
Tl  0.000  0.000  0.000
B  0.000  0.000  0.500
Pd  0.500  0.500  0.000
W  0.000  0.500  0.500
W  0.500  0.000  0.500

Calculated values
E_form, eV per atom: 0.84
SG: P4/mmm, No. 123
N(E_F), states/eV per cell: 4.52

[4]
A relaxed BaSrPrBiO6 crystal. Source: Alexandria, functional GGA-PBE.

Unit cell a=6.264 b=6.264 c=6.264 alpha=60.00 beta=60.00 gamma=60.00
Fractional positions:
Ba  0.000  0.000  0.000
Sr  0.500  0.500  0.500
Pr  0.750  0.750  0.750
Bi  0.250  0.250  0.250
O  0.011  0.011  0.489
O  0.011  0.489  0.011
O  0.011  0.489  0.489
O  0.489  0.011  0.011
O  0.489  0.011  0.489
O  0.489  0.489  0.011

Calculated values
SG: F-43m, No. 216
N(E_F), states/eV per cell: 0.00
Formation energy without anion corrections, kcal/mol of atoms: -52.006

[5]
A relaxed MgBr4Cl crystal. Source: Alexandria, functional GGA-PBE.

Unit cell a=6.135 b=6.135 c=6.135 alpha=60.00 beta=60.00 gamma=60.00
Fractional positions:
Mg  0.000  0.000  0.000
Br  0.125  0.625  0.625
Br  0.625  0.125  0.625
Br  0.625  0.625  0.125
Br  0.625  0.625  0.625
Cl  0.250  0.250  0.250

Calculated values
SG: F-43m, No. 216
N(E_F), states/eV per cell: 4.95
Formation energy without anion corrections, kcal/mol of atoms: 4.975

[6]
A relaxed TcPd8Pt2 crystal. Source: Alexandria, functional GGA-PBE.

Unit cell a=6.839 b=6.839 c=4.681 alpha=100.35 beta=100.35 gamma=62.63
Fractional positions:
Tc  0.000  0.000  0.000
Pd  0.228  0.228  0.090
Pd  0.242  0.622  0.203
Pd  0.355  0.355  0.661
Pd  0.378  0.758  0.797
Pd  0.622  0.242  0.203
Pd  0.645  0.645  0.339
Pd  0.758  0.378  0.797
Pd  0.772  0.772  0.910
Pt  0.118  0.118  0.527
Pt  0.882  0.882  0.473

Calculated values
E_form, eV per atom: 0.31
SG: C2/m, No. 12
N(E_F), states/eV per cell: 16.97

Number 1: calculated density 4.84 g cm⁻³. Number 2: calculated density 9.39 g cm⁻³. Number 3: calculated density 13.99 g cm⁻³. Number 4: calculated density 6.41 g cm⁻³. Number 5: calculated density 3.86 g cm⁻³. Number 6: calculated density 11.70 g cm⁻³.